# Mg3TiOs meta-GGA SCAN PBEsol geometry
data_Mg3TiOs
_chemical_formula_sum 'Mg3 Ti1 Os1'
_space_group_name_H-M_alt 'P m -3 m'
_space_group_IT_number 221
_space_group_name_Hall '-P 4 2 3'
_cell_length_a 4.879
_cell_length_b 4.879
_cell_length_c 4.879
_cell_angle_alpha 90.00
_cell_angle_beta 90.00
_cell_angle_gamma 90.00
loop_
_atom_site_label
_atom_site_type_symbol
_atom_site_fract_x
_atom_site_fract_y
_atom_site_fract_z
Mg1 Mg 0.000 0.000 0.500
Ti1 Ti 0.500 0.500 0.500
Os1 Os 0.000 0.000 0.000
# crystal system	cubic
# energy of formation from the pure elements	0.731	eV per atom
# V	116.2	Å³ per cell
# density of states at the Fermi level	0.534	states/eV/atom